# KBeCu2 | Alexandria via LeMat-Bulk | PBE | relaxed
# * DOS(E_F): 2.74 states/eV/cell
data_KBeCu2
_chemical_formula_sum 'K2 Be2 Cu4'
_cell_length_a 2.6812
_cell_length_b 5.3451
_cell_length_c 9.9742
_cell_angle_alpha 90.00
_cell_angle_beta 90.00
_cell_angle_gamma 90.00
_space_group_name_H-M_alt 'I m m 2'
_space_group_IT_number 44
_space_group_name_Hall 'I 2 -2'
loop_
_atom_site_label
_atom_site_fract_x
_atom_site_fract_y
_atom_site_fract_z
K1 0.0000 0.0000 0.0000
Be1 0.0000 0.5000 0.8038
Cu1 0.0000 0.0000 0.4839
Cu2 0.0000 0.5000 0.1964


# LiClF3 | Alexandria via LeMat-Bulk | PBE | relaxed
# * energy relative to the elements, uncorrected: -0.900 eV/atom
# * DOS(E_F): 3.29 states/eV/cell
# * energy above the most stable polymorph in this dataset: 0.470 eV/atom
data_LiClF3
_chemical_formula_sum 'Li1 Cl1 F3'
_cell_length_a 3.9171
_cell_length_b 3.9171
_cell_length_c 3.9171
_cell_angle_alpha 90.00
_cell_angle_beta 90.00
_cell_angle_gamma 90.00
_space_group_name_H-M_alt 'P m -3 m'
_space_group_IT_number 221
_space_group_name_Hall '-P 4 2 3'
loop_
_atom_site_label
_atom_site_fract_x
_atom_site_fract_y
_atom_site_fract_z
Li1 0.0000 0.0000 0.0000
Cl1 0.5000 0.5000 0.5000
F1 0.0000 0.0000 0.5000


# LiHoGe2Pt5 | Alexandria via LeMat-Bulk | PBE | relaxed
# * DOS(E_F): 3.02 states/eV/cell
data_LiHoGe2Pt5
_chemical_formula_sum 'Li1 Ho1 Ge2 Pt5'
_cell_length_a 4.1253
_cell_length_b 4.1253
_cell_length_c 9.3564
_cell_angle_alpha 90.00
_cell_angle_beta 90.00
_cell_angle_gamma 90.00
_space_group_name_H-M_alt 'P 4/m m m'
_space_group_IT_number 123
_space_group_name_Hall '-P 4 2'
loop_
_atom_site_label
_atom_site_fract_x
_atom_site_fract_y
_atom_site_fract_z
Li1 0.0000 0.0000 0.0000
Ho1 0.0000 0.0000 0.5000
Ge1 0.5000 0.5000 0.1307
Pt1 0.0000 0.5000 0.2761
Pt2 0.5000 0.5000 0.5000


# SrMnS2 | Alexandria via LeMat-Bulk | PBE | relaxed
# * energy relative to the elements, uncorrected: -1.306 eV/atom
# * DOS(E_F): 0.30 states/eV/cell
# * energy above the most stable polymorph in this dataset: 0.001 eV/atom
data_SrMnS2
_chemical_formula_sum 'Sr4 Mn4 S8'
_cell_length_a 4.0103
_cell_length_b 13.5276
_cell_length_c 7.0400
_cell_angle_alpha 90.00
_cell_angle_beta 90.00
_cell_angle_gamma 90.00
_space_group_name_H-M_alt 'C m c m'
_space_group_IT_number 63
_space_group_name_Hall '-C 2c 2'
loop_
_atom_site_label
_atom_site_fract_x
_atom_site_fract_y
_atom_site_fract_z
Sr1 0.0000 0.1143 0.2500
Mn1 0.0000 0.3780 0.2500
S1 0.0000 0.2183 0.7500
S2 0.0000 0.5000 0.0000


E_tot list, top to bottom, in eV per atom: -2.625, -2.775, -5.885, -6.083